Density functional theory data (PBE) for a relaxed structure of TlP2Au.

Values from the calculation:
- ΔE to the lowest computed polymorph (meV per atom) = 183
- density of states at the Fermi level (states/eV per atom) = 0.476
- formation enthalpy at 0 K (eV per atom) = 0.154

a b c (Å): 3.4423 3.4423 23.8695
angles (deg): 90.00 90.00 120.00
Last column: nearest neighbours and their distance in Å.
Space group R3m (No. 160, hexagonal axes)
Asymmetric unit:
Tl1 0.0000 0.0000 0.0000 (multiplicity 3)  3 Au 3.05, 3 P 3.26
P1 0.0000 0.0000 0.4936 (multiplicity 3)  3 P 2.34
P2 0.0000 0.0000 0.7752 (multiplicity 3)  3 P 2.34
Au1 0.0000 0.0000 0.2363 (multiplicity 3)  3 P 2.69